Density functional theory data (PBE) for a geometry-optimized Li3Dy3NpSe8 structure.

Structure (POSCAR):
```
Li3Dy3NpSe8
1.0
4.091 2.362 6.490
-4.091 2.362 6.490
0.000 -4.724 6.490
Li Dy Np Se
3 3 1 8
direct
0.000 0.500 0.500
0.500 0.000 0.500
0.500 0.500 0.000
0.000 0.000 0.500
0.000 0.500 0.000
0.500 0.000 0.000
0.500 0.500 0.500
0.251 0.251 0.251
0.253 0.253 0.747
0.253 0.747 0.253
0.253 0.747 0.747
0.747 0.253 0.253
0.747 0.253 0.747
0.747 0.747 0.253
0.749 0.749 0.749
```

Calculated values
ΔE_f (raw)	-1.553	eV per atom
DOS at the Fermi energy	3.9	states/eV per cell


Density functional theory data (PBE) for a geometry-optimized Ba2Pa2S7 structure.

Structure (POSCAR):
```
Ba2Pa2S7
1.0
4.347 -5.028 0.000
4.347 5.028 0.000
0.000 0.000 7.044
Ba Pa S
2 2 7
direct
0.239 0.239 0.000
0.761 0.761 0.000
0.276 0.724 0.500
0.724 0.276 0.500
0.000 0.000 0.500
0.000 0.500 0.269
0.000 0.500 0.731
0.500 0.000 0.269
0.500 0.000 0.731
0.500 0.500 0.281
0.500 0.500 0.719
```

Calculated values
ΔE_f (raw)	-1.712	eV per atom


Density functional theory data (PBE) for a geometry-optimized Sm2ScAg6 structure.

Structure (POSCAR):
```
Sm2ScAg6
1.0
2.657 -8.088 0.000
2.657 8.088 0.000
-2.603 0.000 4.588
Sm Sc Ag
2 1 6
direct
0.164 0.836 0.000
0.836 0.164 0.000
0.000 0.000 0.500
0.170 0.491 0.663
0.346 0.346 0.180
0.491 0.170 0.663
0.509 0.830 0.337
0.654 0.654 0.820
0.830 0.509 0.337
```

Calculated values
energy relative to the elements	-204.0	meV per atom
DOS at the Fermi energy	5.2	states/eV per cell


Density functional theory data (PBE) for a geometry-optimized Sm3Si4Tc4 structure.

Structure (POSCAR):
```
Sm3Si4Tc4
1.0
-3.777 3.777 3.777
3.777 -3.777 3.777
3.777 3.777 -3.777
Sm Si Tc
3 4 4
direct
0.000 0.500 0.500
0.500 0.000 0.500
0.500 0.500 0.000
0.000 0.000 0.643
0.000 0.643 0.000
0.357 0.357 0.357
0.643 0.000 0.000
0.000 0.000 0.276
0.000 0.276 0.000
0.276 0.000 0.000
0.724 0.724 0.724
```

Calculated values
ΔE_f (raw)	-0.521	eV per atom
DOS at the Fermi energy	7.6	states/eV per cell


Density functional theory data (PBE) for a geometry-optimized TbErHg3 structure.

Structure (POSCAR):
```
TbErHg3
1.0
-2.844 2.844 10.796
2.844 -2.844 10.796
2.844 2.844 -10.796
Tb Er Hg
2 2 6
direct
0.000 0.000 0.000
0.750 0.250 0.500
0.414 0.414 0.000
0.586 0.586 0.000
0.039 0.539 0.500
0.374 0.128 0.246
0.461 0.961 0.500
0.872 0.117 0.246
0.872 0.626 0.754
0.883 0.128 0.754
```

Calculated values
energy relative to the elements	67.9	meV per atom
DOS at the Fermi energy	10.4	states/eV per cell


Density functional theory data (PBE) for a geometry-optimized ZnIn2Ag structure.

Structure (POSCAR):
```
ZnIn2Ag
1.0
4.229 0.000 0.000
0.000 4.283 0.000
0.000 0.000 4.732
Zn In Ag
1 2 1
direct
0.000 0.000 0.000
0.500 0.000 0.500
0.500 0.500 0.000
0.000 0.500 0.500
```

Calculated values
energy relative to the elements	91.4	meV per atom
DOS at the Fermi energy	1.3	states/eV per cell


Density functional theory data (PBE) for a geometry-optimized Be2Cd structure.

Structure (POSCAR):
```
Be2Cd
1.0
5.843 0.000 0.000
0.000 5.843 0.000
0.000 0.000 5.843
Be Cd
8 4
direct
0.109 0.109 0.109
0.109 0.391 0.609
0.391 0.609 0.109
0.391 0.891 0.609
0.609 0.109 0.391
0.609 0.391 0.891
0.891 0.609 0.391
0.891 0.891 0.891
0.000 0.000 0.500
0.000 0.500 0.000
0.500 0.000 0.000
0.500 0.500 0.500
```

Calculated values
excess energy over the best structure of this formula in the dataset	2.56	eV per formula unit
energy relative to the elements	1081.6	meV per atom
DOS at the Fermi energy	4.3	states/eV per cell